(1)
This record from Alexandria describes a relaxed structure of TbPrDy4. The functional is GGA-PBE.

a b c (Å): 6.6078 6.6078 6.6078
angles (deg): 60.00 60.00 60.00
Closest atoms and distances in Å follow each position.
Element x y z (fractional)
1 Tb 0.0000 0.0000 0.0000  12 Dy 3.87, 4 Pr 4.05
2 Pr 0.2500 0.2500 0.2500  12 Dy 3.88, 4 Tb 4.05
3 Dy 0.1239 0.6254 0.6254  6 Dy 3.29-3.31
4 Dy 0.6254 0.1239 0.6254  6 Dy 3.29-3.31
5 Dy 0.6254 0.6254 0.1239  6 Dy 3.29-3.31
6 Dy 0.6254 0.6254 0.6254  6 Dy 3.29-3.31

- Spin magnetization: 1.06 Bohr magnetons per cell
- Formation energy from the elements: 1.66 eV/f.u.
- Energy relative to the lowest polymorph listed for this composition: 257.0 meV/atom
- DOS at the Fermi energy: 12.39 states/eV/f.u.

---

(2)
This record from Alexandria describes a relaxed structure of TbPr10Dy6. The functional is GGA-PBE.

a b c (Å): 9.9094 9.9094 6.9674
angles (deg): 90.00 90.00 120.00
Closest atoms and distances in Å follow each position.
Element x y z (fractional)
1 Tb 0.0000 0.0000 0.0000  6 Pr 3.51, 6 Dy 3.88
2 Pr 0.0000 0.2749 0.3168  5 Dy 3.41-3.64, 1 Tb 3.51, 2 Pr 3.73
3 Pr 0.0000 0.7251 0.6832  5 Dy 3.41-3.64, 1 Tb 3.51, 2 Pr 3.73
4 Pr 0.2749 0.0000 0.3168  5 Dy 3.41-3.64, 1 Tb 3.51, 2 Pr 3.73
5 Pr 0.2749 0.2749 0.6832  5 Dy 3.41-3.64, 1 Tb 3.51, 2 Pr 3.73
6 Pr 0.3333 0.6667 0.0000  6 Dy 3.41, 2 Pr 3.48
7 Pr 0.3333 0.6667 0.5000  8 Pr 3.48-3.85, 6 Dy 3.82
8 Pr 0.6667 0.3333 0.0000  6 Dy 3.41, 2 Pr 3.48
9 Pr 0.6667 0.3333 0.5000  8 Pr 3.48-3.85, 6 Dy 3.82
10 Pr 0.7251 0.0000 0.6832  5 Dy 3.41-3.64, 1 Tb 3.51, 2 Pr 3.73
11 Pr 0.7251 0.7251 0.3168  5 Dy 3.41-3.64, 1 Tb 3.51, 2 Pr 3.73
12 Dy 0.0000 0.3687 0.8112  7 Pr 3.41-3.64, 1 Dy 3.70
13 Dy 0.0000 0.6313 0.1888  7 Pr 3.41-3.64, 1 Dy 3.70
14 Dy 0.3687 0.0000 0.8112  7 Pr 3.41-3.64, 1 Dy 3.70
15 Dy 0.3687 0.3687 0.1888  7 Pr 3.41-3.64, 1 Dy 3.70
16 Dy 0.6313 0.0000 0.1888  7 Pr 3.41-3.64, 1 Dy 3.70
17 Dy 0.6313 0.6313 0.8112  7 Pr 3.41-3.64, 1 Dy 3.70

- Spin magnetization: 0.00 Bohr magnetons per cell
- Formation energy from the elements: 2.15 eV/f.u.
- DOS at the Fermi energy: 25.93 states/eV/f.u.

---

(3)
This record from Alexandria describes a relaxed structure of Tb3Pr5Dy. The functional is GGA-PBE.

a b c (Å): 8.4571 8.4571 10.0189
angles (deg): 101.09 101.09 89.74
Closest atoms and distances in Å follow each position.
Element x y z (fractional)
1 Tb 0.0000 0.0000 0.0000  6 Pr 3.22-3.60, 2 Tb 3.25, 2 Dy 3.53
2 Tb 0.9997 0.9997 0.3240  5 Pr 3.23-3.44, 2 Tb 3.25-3.52, 1 Dy 3.35
3 Tb 0.0003 0.0003 0.6760  5 Pr 3.23-3.44, 2 Tb 3.25-3.52, 1 Dy 3.35
4 Tb 0.4921 0.4921 0.1604  1 Dy 3.21, 2 Tb 3.27-3.38, 5 Pr 3.31-3.58
5 Tb 0.5000 0.5000 0.5000  4 Pr 3.02-3.33, 2 Dy 3.16
6 Tb 0.5079 0.5079 0.8396  1 Dy 3.21, 2 Tb 3.27-3.38, 5 Pr 3.31-3.58
7 Pr 0.0968 0.5975 0.8521  1 Dy 3.34, 1 Pr 3.38, 2 Tb 3.58-3.60
8 Pr 0.2420 0.2420 0.9178  4 Tb 3.22-3.48, 3 Pr 3.38-3.40, 1 Dy 3.43
9 Pr 0.2473 0.7527 0.5000  1 Tb 3.02
10 Pr 0.2487 0.2487 0.5811  1 Dy 3.20, 4 Tb 3.33-3.46, 1 Pr 3.40
11 Pr 0.4025 0.9032 0.1479  1 Dy 3.34, 1 Pr 3.38, 2 Tb 3.58-3.60
12 Pr 0.5975 0.0968 0.8521  1 Dy 3.34, 1 Pr 3.38, 2 Tb 3.58-3.60
13 Pr 0.7513 0.7513 0.4189  1 Dy 3.20, 4 Tb 3.33-3.46, 1 Pr 3.40
14 Pr 0.7527 0.2473 0.5000  1 Tb 3.02
15 Pr 0.7580 0.7580 0.0822  4 Tb 3.22-3.48, 3 Pr 3.38-3.40, 1 Dy 3.43
16 Pr 0.9032 0.4025 0.1479  1 Dy 3.34, 1 Pr 3.38, 2 Tb 3.58-3.60
17 Dy 0.2623 0.2623 0.2662  4 Tb 3.16-3.53, 4 Pr 3.20-3.43
18 Dy 0.7377 0.7377 0.7338  4 Tb 3.16-3.53, 4 Pr 3.20-3.43

- Spin magnetization: 0.00 Bohr magnetons per cell
- Formation energy from the elements: 4.21 eV/f.u.
- Energy relative to the lowest polymorph listed for this composition: 204.9 meV/atom
- DOS at the Fermi energy: 12.79 states/eV/f.u.

---

(4)
This record from Alexandria describes a relaxed structure of Tb9Pr2Dy. The functional is GGA-PBE.

a b c (Å): 11.3436 11.3436 3.5015
angles (deg): 90.00 90.00 120.00
Closest atoms and distances in Å follow each position.
Element x y z (fractional)
1 Tb 0.0000 0.5000 0.0000  2 Pr 3.27, 10 Tb 3.50-3.66
2 Tb 0.1725 0.3450 0.5000  8 Tb 3.39-3.66, 2 Pr 3.61
3 Tb 0.1725 0.8275 0.5000  8 Tb 3.39-3.66, 2 Pr 3.61
4 Tb 0.3450 0.1725 0.5000  8 Tb 3.39-3.66, 2 Pr 3.61
5 Tb 0.5000 0.0000 0.0000  2 Pr 3.27, 10 Tb 3.50-3.66
6 Tb 0.5000 0.5000 0.0000  2 Pr 3.27, 10 Tb 3.50-3.66
7 Tb 0.6550 0.8275 0.5000  8 Tb 3.39-3.66, 2 Pr 3.61
8 Tb 0.8275 0.1725 0.5000  8 Tb 3.39-3.66, 2 Pr 3.61
9 Tb 0.8275 0.6550 0.5000  8 Tb 3.39-3.66, 2 Pr 3.61
10 Pr 0.3333 0.6667 0.0000  9 Tb 3.27-3.61, 2 Pr 3.50
11 Pr 0.6667 0.3333 0.0000  9 Tb 3.27-3.61, 2 Pr 3.50
12 Dy 0.0000 0.0000 0.0000  2 Dy 3.50, 12 Tb 3.81

- Spin magnetization: 0.00 Bohr magnetons per cell
- Formation energy from the elements: 0.80 eV/f.u.
- Energy relative to the lowest polymorph listed for this composition: 46.4 meV/atom
- DOS at the Fermi energy: 17.77 states/eV/f.u.

---

(5)
This record from Alexandria describes a relaxed structure of TbPr2Dy8. The functional is GGA-PBE.

a b c (Å): 9.2379 9.2379 5.9222
angles (deg): 105.43 105.43 121.29
Closest atoms and distances in Å follow each position.
Element x y z (fractional)
1 Tb 0.0000 0.0000 0.0000  4 Dy 3.34-3.36
2 Pr 0.3065 0.6935 0.5000  8 Dy 3.36-3.50
3 Pr 0.6935 0.3065 0.5000  8 Dy 3.36-3.50
4 Dy 0.0987 0.3291 0.6728  3 Dy 3.23-3.46, 2 Pr 3.48-3.50
5 Dy 0.2073 0.7927 0.0000  1 Tb 3.34, 2 Pr 3.36, 6 Dy 3.63-3.71
6 Dy 0.3291 0.0987 0.6728  3 Dy 3.23-3.46, 2 Pr 3.48-3.50
7 Dy 0.4263 0.4263 0.2034  4 Dy 3.01-3.33, 1 Tb 3.36
8 Dy 0.5737 0.5737 0.7966  4 Dy 3.01-3.33, 1 Tb 3.36
9 Dy 0.6709 0.9013 0.3272  3 Dy 3.23-3.46, 2 Pr 3.48-3.50
10 Dy 0.7927 0.2073 0.0000  1 Tb 3.34, 2 Pr 3.36, 6 Dy 3.63-3.71
11 Dy 0.9013 0.6709 0.3272  3 Dy 3.23-3.46, 2 Pr 3.48-3.50

- Spin magnetization: 0.00 Bohr magnetons per cell
- Formation energy from the elements: 1.72 eV/f.u.
- Energy relative to the lowest polymorph listed for this composition: 136.7 meV/atom
- DOS at the Fermi energy: 14.83 states/eV/f.u.

---

(6)
This record from Alexandria describes a relaxed structure of TbPr6Dy4. The functional is GGA-PBE.

a b c (Å): 10.0025 10.0025 10.0025
angles (deg): 141.36 141.36 55.80
Closest atoms and distances in Å follow each position.
Element x y z (fractional)
1 Tb 0.0000 0.0000 0.0000  4 Pr 3.31, 4 Dy 3.54
2 Pr 0.0000 0.5000 0.5000  2 Tb 3.31, 4 Pr 3.43
3 Pr 0.1844 0.5425 0.0000  5 Dy 3.34-3.53, 3 Pr 3.35-3.43
4 Pr 0.4575 0.4575 0.6419  5 Dy 3.34-3.53, 3 Pr 3.35-3.43
5 Pr 0.5000 0.0000 0.5000  2 Tb 3.31, 4 Pr 3.43
6 Pr 0.5425 0.1844 0.0000  5 Dy 3.34-3.53, 3 Pr 3.35-3.43
7 Pr 0.8156 0.8156 0.3581  5 Dy 3.34-3.53, 3 Pr 3.35-3.43
8 Dy 0.0103 0.0103 0.3700  5 Pr 3.34-3.53, 1 Dy 3.46, 1 Tb 3.54
9 Dy 0.3597 0.9897 0.0000  5 Pr 3.34-3.53, 1 Dy 3.46, 1 Tb 3.54
10 Dy 0.6403 0.6403 0.6300  5 Pr 3.34-3.53, 1 Dy 3.46, 1 Tb 3.54
11 Dy 0.9897 0.3597 0.0000  5 Pr 3.34-3.53, 1 Dy 3.46, 1 Tb 3.54

- Spin magnetization: 0.00 Bohr magnetons per cell
- Formation energy from the elements: 3.10 eV/f.u.
- Energy relative to the lowest polymorph listed for this composition: 0.0 meV/atom
- DOS at the Fermi energy: 17.37 states/eV/f.u.

---

(7)
This record from Alexandria describes a relaxed structure of TbPrDy. The functional is GGA-PBE.

a b c (Å): 8.0549 8.0549 8.0549
angles (deg): 154.09 154.09 36.96
Closest atoms and distances in Å follow each position.
Element x y z (fractional)
1 Tb 0.0000 0.0000 0.0000  4 Dy 3.56, 4 Tb 3.61, 4 Pr 3.63
2 Pr 0.6692 0.6692 0.0000  4 Pr 3.61, 4 Dy 3.63, 4 Tb 3.63
3 Dy 0.3376 0.3376 0.0000  4 Tb 3.56, 4 Dy 3.61, 4 Pr 3.63

- Spin magnetization: 0.00 Bohr magnetons per cell
- Formation energy from the elements: 0.07 eV/f.u.
- Energy relative to the lowest polymorph listed for this composition: 3.8 meV/atom
- DOS at the Fermi energy: 4.05 states/eV/f.u.

---

(8)
This record from Alexandria describes a relaxed structure of Tb3PrDy4. The functional is GGA-PBE.

a b c (Å): 11.8846 11.8846 6.7314
angles (deg): 106.39 106.39 16.80
Closest atoms and distances in Å follow each position.
Element x y z (fractional)
1 Tb 0.0000 0.0000 0.0000  2 Dy 3.32, 4 Tb 3.33-3.47
2 Tb 0.1264 0.1264 0.8711  5 Dy 3.29-3.51, 3 Tb 3.33-3.47
3 Tb 0.8736 0.8736 0.1289  5 Dy 3.29-3.51, 3 Tb 3.33-3.47
4 Pr 0.5000 0.5000 0.5000  2 Pr 3.47, 4 Dy 3.71, 8 Tb 3.72-3.79
5 Dy 0.1260 0.1260 0.3815  3 Tb 3.29-3.44, 5 Dy 3.46-3.51
6 Dy 0.2598 0.2598 0.2618  9 Dy 3.46-3.84, 3 Tb 3.47-3.51
7 Dy 0.7402 0.7402 0.7382  9 Dy 3.46-3.84, 3 Tb 3.47-3.51
8 Dy 0.8740 0.8740 0.6185  3 Tb 3.29-3.44, 5 Dy 3.46-3.51

- Spin magnetization: 0.00 Bohr magnetons per cell
- Formation energy from the elements: 1.39 eV/f.u.
- Energy relative to the lowest polymorph listed for this composition: 157.2 meV/atom
- DOS at the Fermi energy: 14.04 states/eV/f.u.

---

(9)
This record from Alexandria describes a relaxed structure of Tb6PrDy3. The functional is GGA-PBE.

a b c (Å): 11.0098 11.0098 6.2104
angles (deg): 90.00 90.00 119.65
Closest atoms and distances in Å follow each position.
Element x y z (fractional)
1 Tb 0.0431 0.4635 0.0412  5 Tb 3.22-3.46, 2 Pr 3.27-3.48, 2 Dy 3.29-3.56
2 Tb 0.0445 0.9555 0.5000  1 Pr 3.36, 4 Dy 3.52-3.61, 2 Tb 3.54
3 Tb 0.2816 0.7184 0.7690  4 Tb 3.22-3.42, 1 Dy 3.37, 2 Pr 3.44
4 Tb 0.2894 0.3803 0.8744  4 Dy 3.42-3.63, 6 Tb 3.42-3.82
5 Tb 0.3803 0.2894 0.3744  4 Dy 3.42-3.63, 6 Tb 3.42-3.82
6 Tb 0.4635 0.0431 0.5412  5 Tb 3.22-3.46, 2 Pr 3.27-3.48, 2 Dy 3.29-3.56
7 Tb 0.5365 0.9569 0.0412  5 Tb 3.22-3.46, 2 Pr 3.27-3.48, 2 Dy 3.29-3.56
8 Tb 0.6197 0.7106 0.8744  4 Dy 3.42-3.63, 6 Tb 3.42-3.82
9 Tb 0.7106 0.6197 0.3744  4 Dy 3.42-3.63, 6 Tb 3.42-3.82
10 Tb 0.7184 0.2816 0.2690  4 Tb 3.22-3.42, 1 Dy 3.37, 2 Pr 3.44
11 Tb 0.9555 0.0445 0.0000  1 Pr 3.36, 4 Dy 3.52-3.61, 2 Tb 3.54
12 Tb 0.9569 0.5365 0.5412  5 Tb 3.22-3.46, 2 Pr 3.27-3.48, 2 Dy 3.29-3.56
13 Pr 0.2040 0.7960 0.2693  7 Tb 3.27-3.48, 3 Dy 3.29-3.55
14 Pr 0.7960 0.2040 0.7693  7 Tb 3.27-3.48, 3 Dy 3.29-3.55
15 Dy 0.0625 0.2829 0.4490  1 Pr 3.29, 6 Tb 3.29-3.61
16 Dy 0.2829 0.0625 0.9490  1 Pr 3.29, 6 Tb 3.29-3.61
17 Dy 0.3891 0.6109 0.3376  5 Tb 3.37-3.63, 1 Pr 3.55, 2 Dy 3.69
18 Dy 0.6109 0.3891 0.8376  5 Tb 3.37-3.63, 1 Pr 3.55, 2 Dy 3.69
19 Dy 0.7171 0.9375 0.4490  1 Pr 3.29, 6 Tb 3.29-3.61
20 Dy 0.9375 0.7171 0.9490  1 Pr 3.29, 6 Tb 3.29-3.61

- Spin magnetization: 0.00 Bohr magnetons per cell
- Formation energy from the elements: 1.51 eV/f.u.
- Energy relative to the lowest polymorph listed for this composition: 0.0 meV/atom
- DOS at the Fermi energy: 14.33 states/eV/f.u.

---

(10)
This record from Alexandria describes a relaxed structure of Tb4Pr4Dy3. The functional is GGA-PBE.

a b c (Å): 12.0607 12.0607 12.0607
angles (deg): 162.69 133.50 49.97
Closest atoms and distances in Å follow each position.
Element x y z (fractional)
1 Tb 0.1834 0.0000 0.1834  6 Dy 3.43-3.52, 2 Pr 3.43, 3 Tb 3.49-3.63
2 Tb 0.2383 0.2383 0.0000  2 Dy 3.41, 6 Pr 3.56-3.69, 2 Tb 3.63
3 Tb 0.7617 0.7617 0.0000  2 Dy 3.41, 6 Pr 3.56-3.69, 2 Tb 3.63
4 Tb 0.8166 0.0000 0.8166  6 Dy 3.43-3.52, 2 Pr 3.43, 3 Tb 3.49-3.63
5 Pr 0.1781 0.8553 0.3228  3 Pr 3.37-3.63, 4 Tb 3.43-3.69, 2 Dy 3.67
6 Pr 0.4675 0.1447 0.3228  3 Pr 3.37-3.63, 4 Tb 3.43-3.69, 2 Dy 3.67
7 Pr 0.5325 0.8553 0.6772  3 Pr 3.37-3.63, 4 Tb 3.43-3.69, 2 Dy 3.67
8 Pr 0.8219 0.1447 0.6772  3 Pr 3.37-3.63, 4 Tb 3.43-3.69, 2 Dy 3.67
9 Dy 0.1063 0.6063 0.5000  6 Tb 3.41-3.43, 2 Dy 3.63, 4 Pr 3.67
10 Dy 0.5000 0.5000 0.0000  4 Tb 3.52, 2 Dy 3.63
11 Dy 0.8937 0.3937 0.5000  6 Tb 3.41-3.43, 2 Dy 3.63, 4 Pr 3.67

- Spin magnetization: 0.00 Bohr magnetons per cell
- Formation energy from the elements: 1.35 eV/f.u.
- Energy relative to the lowest polymorph listed for this composition: 62.2 meV/atom
- DOS at the Fermi energy: 17.54 states/eV/f.u.